GdHoAlAg | GGA-PBE | relaxed

Computed properties:
The calculation puts the density of states at the Fermi level at 0.80 states/eV/atom. The total moment comes out at 30.0 μB per cell. The final energy is -106.439 eV per cell.

Cell lengths 7.305, 7.305, 7.305 Å; angles 90.00, 90.00, 90.00 degrees
Space group F-43m (No. 216)
One atom of each set of equivalent atoms:
Gd1 0.000 0.000 0.000 [4 per cell]
Ho1 0.000 0.000 0.500 [4 per cell]
Al1 0.250 0.250 0.250 [4 per cell]
Ag1 0.250 0.250 0.750 [4 per cell]